# DyLuO3 | Alexandria via LeMat-Bulk | PBE | optimized geometry
# Crystal system   orthorhombic
# Uncorrected energy   -167.5 eV per cell
# Space-group type   Pnma, No. 62
# Formation energy (no corrections)   -3.57 eV per atom
data_DyLuO3
_chemical_formula_sum 'Dy4 Lu4 O12'
_cell_length_a 5.8689
_cell_length_b 8.2706
_cell_length_c 5.5991
_cell_angle_alpha 90.00
_cell_angle_beta 90.00
_cell_angle_gamma 90.00
_space_group_name_H-M_alt 'P 1'
_space_group_IT_number 1
loop_
_space_group_symop_operation_xyz
'x,y,z'
loop_
_atom_site_label
_atom_site_type_symbol
_atom_site_fract_x
_atom_site_fract_y
_atom_site_fract_z
Dy1 Dy 0.0549 0.2500 0.0198
Dy2 Dy 0.4451 0.7500 0.5198
Dy3 Dy 0.5549 0.2500 0.4802
Dy4 Dy 0.9451 0.7500 0.9802
Lu1 Lu 0.0000 0.0000 0.5000
Lu2 Lu 0.0000 0.5000 0.5000
Lu3 Lu 0.5000 0.0000 0.0000
Lu4 Lu 0.5000 0.5000 0.0000
O1 O 0.0730 0.7500 0.3556
O2 O 0.1901 0.5766 0.8132
O3 O 0.1901 0.9234 0.8132
O4 O 0.3099 0.0766 0.3132
O5 O 0.3099 0.4234 0.3132
O6 O 0.4270 0.2500 0.8556
O7 O 0.5730 0.7500 0.1444
O8 O 0.6901 0.5766 0.6868
O9 O 0.6901 0.9234 0.6868
O10 O 0.8099 0.0766 0.1868
O11 O 0.8099 0.4234 0.1868
O12 O 0.9270 0.2500 0.6444